Computed, not measured: a geometry-optimized Li2LaTa2O7 structure at the PBE level of DFT.

```
Li2LaTa2O7
1.0
-1.9997 1.9997 9.2765
1.9997 -1.9997 9.2765
1.9997 1.9997 -9.2765
Li La Ta O
2 1 2 7
Direct
0.2500 0.7500 0.5000 Li
0.7500 0.2500 0.5000 Li
0.0000 0.0000 0.0000 La
0.3869 0.3869 0.0000 Ta
0.6131 0.6131 0.0000 Ta
0.0971 0.5971 0.5000 O
0.2845 0.2845 0.0000 O
0.4029 0.9029 0.5000 O
0.5000 0.5000 0.0000 O
0.5971 0.0971 0.5000 O
0.7155 0.7155 0.0000 O
0.9029 0.4029 0.5000 O
```

## Properties
electronic total energy	-8.408	eV per atom
SG	I4/mmm, No. 139
DOS at the Fermi energy	0.02	states/eV/atom
formation energy without anion corrections	-2811	meV per atom

---

Computed, not measured: a geometry-optimized MnTc2Ru structure at the PBE level of DFT.

```
MnTc2Ru
1.0
-1.4543 2.1750 4.4148
1.4543 -2.1750 4.4148
1.4543 2.1750 -4.4148
Mn Tc Ru
1 2 1
Direct
0.0000 0.0000 0.0000 Mn
0.5046 0.5046 0.0000 Tc
0.7727 0.2727 0.5000 Tc
0.2312 0.7312 0.5000 Ru
```

## Properties
electronic total energy	-9.612	eV per atom
SG	Imm2, No. 44
DOS at the Fermi energy	1.25	states/eV/atom
ΔE to the lowest computed polymorph	0.126	eV/atom
formation energy from the elements	0.1821	eV/atom

---

Computed, not measured: a geometry-optimized PuTlInSn structure at the PBE level of DFT.

```
PuTlInSn
1.0
4.6036 0.0000 0.0000
0.0000 4.6595 0.0000
0.0000 0.0000 4.8419
Pu Tl In Sn
1 1 1 1
Direct
0.0000 0.0000 0.0000 Pu
0.5000 0.0000 0.5000 Tl
0.0000 0.5000 0.5000 In
0.5000 0.5000 0.0000 Sn
```

## Properties
electronic total energy	-6.078	eV per atom
SG	Pmmm, No. 47
DOS at the Fermi energy	2.66	states/eV/atom
ΔE to the lowest computed polymorph	0.000	eV/atom
formation energy from the elements	-0.2185	eV/atom

---

Computed, not measured: a geometry-optimized Nd2ErCd2In2 structure at the PBE level of DFT.

```
Nd2ErCd2In2
1.0
2.4775 1.4304 9.1804
-2.4775 1.4304 9.1804
0.0000 -2.8608 9.1804
Nd Er Cd In
2 1 2 2
Direct
0.1272 0.1272 0.1272 Nd
0.8728 0.8728 0.8728 Nd
0.0000 0.0000 0.0000 Er
0.3914 0.3914 0.3914 Cd
0.6086 0.6086 0.6086 Cd
0.2635 0.2635 0.2635 In
0.7365 0.7365 0.7365 In
```

## Properties
electronic total energy	-3.323	eV per atom
SG	R-3m, No. 166
DOS at the Fermi energy	0.66	states/eV/atom
formation energy from the elements	-0.2651	eV/atom

---

Computed, not measured: a geometry-optimized ErPuSc3 structure at the PBE level of DFT.

```
ErPuSc3
1.0
3.0484 -7.8025 0.0000
3.0484 7.8025 0.0000
0.0000 0.0000 5.9771
Er Pu Sc
2 2 6
Direct
0.1701 0.8299 0.7500 Er
0.8299 0.1701 0.2500 Er
0.4384 0.5616 0.2500 Pu
0.5616 0.4384 0.7500 Pu
0.0000 0.0000 0.0000 Sc
0.0000 0.0000 0.5000 Sc
0.0970 0.4056 0.7500 Sc
0.4056 0.0970 0.2500 Sc
0.5944 0.9030 0.7500 Sc
0.9030 0.5944 0.2500 Sc
```

## Properties
electronic total energy	-7.171	eV per atom
SG	Cmcm, No. 63
DOS at the Fermi energy	1.92	states/eV/atom
ΔE to the lowest computed polymorph	0.056	eV/atom
formation energy from the elements	0.4065	eV/atom

---

Computed, not measured: a geometry-optimized BeNbSeN2 structure at the PBE level of DFT.

```
BeNbSeN2
1.0
3.6194 0.0000 0.0000
0.0000 3.6194 0.0000
0.0000 0.0000 4.5607
Be Nb Se N
1 1 1 2
Direct
0.0000 0.0000 0.0000 Be
0.5000 0.5000 0.5000 Nb
0.0000 0.0000 0.5000 Se
0.0000 0.5000 0.0000 N
0.5000 0.0000 0.0000 N
```

## Properties
electronic total energy	-5.919	eV per atom
SG	P4/mmm, No. 123
DOS at the Fermi energy	0.52	states/eV/atom
formation energy without anion corrections	867	meV per atom
ΔE to the lowest computed polymorph	0.324	eV/atom

---

Computed, not measured: a geometry-optimized TbNbPb structure at the PBE level of DFT.

```
TbNbPb
1.0
3.5983 0.0000 0.0000
0.0000 3.5983 0.0000
0.0000 0.0000 11.5810
Tb Nb Pb
2 2 2
Direct
0.2500 0.2500 0.1099 Tb
0.7500 0.7500 0.8901 Tb
0.2500 0.2500 0.4428 Nb
0.7500 0.7500 0.5572 Nb
0.2500 0.2500 0.7057 Pb
0.7500 0.7500 0.2943 Pb
```

## Properties
electronic total energy	-6.219	eV per atom
SG	P4/nmm, No. 129
DOS at the Fermi energy	0.80	states/eV/atom
formation energy from the elements	-0.0834	eV/atom

---

Computed, not measured: a geometry-optimized CsNaPtF6 structure at the PBE level of DFT.

```
CsNaPtF6
1.0
5.8511 0.0000 0.0000
-2.9256 5.0672 0.0000
0.0000 0.0000 6.3139
Cs Na Pt F
1 1 1 6
Direct
0.0000 0.0000 0.0000 Cs
0.3333 0.6667 0.5000 Na
0.6667 0.3333 0.5000 Pt
0.3938 0.0487 0.6771 F
0.3938 0.3452 0.3229 F
0.6548 0.0487 0.3229 F
0.6548 0.6062 0.6771 F
0.9513 0.3452 0.6771 F
0.9513 0.6062 0.3229 F
```

## Properties
electronic total energy	-4.295	eV per atom
SG	P312, No. 149
DOS at the Fermi energy	0.00	states/eV/atom
formation energy without anion corrections	-2135	meV per atom